Model one:
This record from Alexandria via LeMat-Bulk describes an optimized crystal structure of K2ScBr5. The functional is PBE.

```
16
Lattice="2.751 -8.338 0.000 2.751 8.338 0.000 0.000 0.000 14.767" Properties=species:S:1:pos:R:3 pbc="T T T"
K 2.751 5.923 8.332
K 2.751 5.923 13.818
K 2.751 -5.923 0.948
K 2.751 -5.923 6.435
Sc 2.751 5.780 3.692
Sc 2.751 -5.780 11.075
Br 2.751 7.602 1.846
Br 2.751 7.602 5.538
Br 2.751 3.865 1.775
Br 2.751 3.865 5.608
Br 2.751 2.792 11.075
Br 2.751 -2.792 3.692
Br 2.751 -3.865 9.159
Br 2.751 -3.865 12.991
Br 2.751 -7.602 9.229
Br 2.751 -7.602 12.921
```

Magnetic moment, μB per cell: 0.000


Model two:
This record from Alexandria via LeMat-Bulk describes an optimized crystal structure of K2ScBr5. The functional is PBE.

```
32
Lattice="9.798 0.000 0.000 0.000 7.520 0.000 0.000 0.000 14.994" Properties=species:S:1:pos:R:3 pbc="T T T"
K 0.505 1.880 2.928
K 1.784 5.640 6.191
K 3.115 1.880 13.687
K 4.394 5.640 10.425
K 5.404 1.880 4.569
K 6.683 5.640 1.306
K 8.014 1.880 8.803
K 9.293 5.640 12.066
Sc 1.888 5.640 0.857
Sc 3.010 1.880 8.354
Sc 6.787 5.640 6.640
Sc 7.909 1.880 14.137
Br 0.000 0.000 0.000
Br 0.000 3.760 0.000
Br 0.536 5.640 3.106
Br 1.440 3.786 9.052
Br 1.440 7.493 9.052
Br 2.232 1.880 5.778
Br 2.667 5.640 13.275
Br 3.459 0.027 1.555
Br 3.459 3.733 1.555
Br 4.363 1.880 10.603
Br 4.899 0.000 7.497
Br 4.899 3.760 7.497
Br 5.435 5.640 4.390
Br 6.338 3.786 13.439
Br 6.338 7.493 13.439
Br 7.131 1.880 1.719
Br 7.566 5.640 9.216
Br 8.358 0.027 5.942
Br 8.358 3.733 5.942
Br 9.262 1.880 11.887
```

Magnetic moment, μB per cell: 0.000


Most stable = model two


Model one:
This record from Alexandria via LeMat-Bulk describes an optimized crystal structure of KScBr4. The functional is PBE.

```
12
Lattice="5.021 -7.836 0.000 5.021 7.836 0.000 -3.659 0.000 5.651" Properties=species:S:1:pos:R:3 pbc="T T T"
K 2.276 5.170 4.238
K 4.106 -5.170 1.413
Sc 4.106 1.166 1.413
Sc 2.276 -1.166 4.238
Br 2.291 2.974 1.646
Br 0.275 0.784 4.414
Br 2.104 -0.784 1.588
Br 5.921 2.974 1.180
Br 0.462 -2.974 4.471
Br 4.278 0.784 4.062
Br 6.107 -0.784 1.237
Br 4.091 -2.974 4.005
```

Magnetic moment, μB per cell: 0.000


Model two:
This record from Alexandria via LeMat-Bulk describes an optimized crystal structure of KScBr4. The functional is PBE.

```
6
Lattice="0.000 4.595 4.595 4.595 0.000 4.595 4.595 4.595 0.000" Properties=species:S:1:pos:R:3 pbc="T T T"
K 0.000 0.000 0.000
Sc 6.892 6.892 6.892
Br 3.451 3.451 3.451
Br 5.738 5.738 3.451
Br 5.738 3.451 5.738
Br 3.451 5.738 5.738
```

Magnetic moment, μB per cell: 1.585


Most stable = model one


Model one:
This record from Alexandria via LeMat-Bulk describes an optimized crystal structure of K3ScBr. The functional is PBE.

```
5
Lattice="7.294 0.000 0.000 0.000 7.294 0.000 0.000 0.000 7.294" Properties=species:S:1:pos:R:3 pbc="T T T"
K 0.000 0.000 3.647
K 0.000 3.647 0.000
K 3.647 0.000 0.000
Sc 0.000 0.000 0.000
Br 3.647 3.647 3.647
```

Magnetic moment, μB per cell: 2.942


Model two:
This record from Alexandria via LeMat-Bulk describes an optimized crystal structure of K3ScBr. The functional is PBE.

```
5
Lattice="6.380 0.000 0.000 0.000 6.380 0.000 0.000 0.000 6.380" Properties=species:S:1:pos:R:3 pbc="T T T"
K 0.000 0.000 3.190
K 0.000 3.190 0.000
K 3.190 0.000 0.000
Sc 3.190 3.190 3.190
Br 0.000 0.000 0.000
```

Magnetic moment, μB per cell: 2.301


Most stable = model two


Model one:
This record from Alexandria via LeMat-Bulk describes an optimized crystal structure of KSeBr2. The functional is PBE.

```
4
Lattice="4.076 0.000 0.000 0.000 4.076 0.000 0.000 0.000 8.012" Properties=species:S:1:pos:R:3 pbc="T T T"
K 0.000 0.000 0.000
Se 2.038 2.038 3.255
Br 0.000 0.000 3.411
Br 2.038 2.038 6.854
```

Magnetic moment, μB per cell: 0.013


Model two:
This record from Alexandria via LeMat-Bulk describes an optimized crystal structure of KSeBr2. The functional is PBE.

```
4
Lattice="4.042 -4.181 0.000 4.042 4.181 0.000 -3.975 0.000 4.195" Properties=species:S:1:pos:R:3 pbc="T T T"
K 0.000 0.000 0.000
Se 4.042 0.000 0.000
Br 0.033 2.091 2.097
Br 0.033 -2.091 2.097
```

Magnetic moment, μB per cell: 0.000


Most stable = model two


Model one:
This record from Alexandria via LeMat-Bulk describes an optimized crystal structure of KSeBr2. The functional is PBE.

```
4
Lattice="2.569 1.483 8.187 -2.569 1.483 8.187 0.000 -2.966 8.187" Properties=species:S:1:pos:R:3 pbc="T T T"
K 0.000 0.000 0.000
Se 0.000 0.000 12.281
Br 0.000 0.000 9.713
Br 0.000 0.000 14.849
```

Magnetic moment, μB per cell: 1.000


Model two:
This record from Alexandria via LeMat-Bulk describes an optimized crystal structure of KSeBr2. The functional is PBE.

```
4
Lattice="4.592 -2.620 0.000 4.592 2.620 0.000 -1.068 0.000 6.004" Properties=species:S:1:pos:R:3 pbc="T T T"
K 0.000 0.000 0.000
Se 4.059 0.000 3.002
Br 2.006 0.000 4.529
Br 6.111 0.000 1.475
```

Magnetic moment, μB per cell: 1.031


Model three:
This record from Alexandria via LeMat-Bulk describes an optimized crystal structure of KSeBr2. The functional is PBE.

```
8
Lattice="-2.990 2.990 8.851 2.990 -2.990 8.851 2.990 2.990 -8.851" Properties=species:S:1:pos:R:3 pbc="T T T"
K 0.000 0.000 0.000
K 0.000 2.990 4.425
Se 2.990 0.000 4.425
Se 0.000 0.000 8.851
Br 1.495 -0.949 6.638
Br 2.042 1.495 2.213
Br 1.495 3.939 -2.213
Br 0.949 1.495 11.063
```

Magnetic moment, μB per cell: 0.000


Model four:
This record from Alexandria via LeMat-Bulk describes an optimized crystal structure of KSeBr2. The functional is PBE.

```
4
Lattice="2.372 1.370 7.353 -2.372 1.370 7.353 0.000 -2.739 7.353" Properties=species:S:1:pos:R:3 pbc="T T T"
K 0.000 0.000 0.000
Se 0.000 0.000 11.029
Br 0.000 0.000 5.471
Br 0.000 0.000 16.587
```

Magnetic moment, μB per cell: 2.987


Most stable = model two


Model one:
This record from Alexandria via LeMat-Bulk describes an optimized crystal structure of KSeBr2. The functional is PBE.

```
4
Lattice="4.699 0.000 0.000 0.000 4.409 0.000 -2.343 0.000 6.570" Properties=species:S:1:pos:R:3 pbc="T T T"
K 0.000 0.000 0.000
Se -1.172 0.000 3.285
Br -0.276 2.204 4.769
Br 2.631 2.204 1.801
```

Magnetic moment, μB per cell: 0.000


Model two:
This record from Alexandria via LeMat-Bulk describes an optimized crystal structure of KSeBr2. The functional is PBE.

```
4
Lattice="2.394 1.382 7.231 -2.394 1.382 7.231 0.000 -2.764 7.231" Properties=species:S:1:pos:R:3 pbc="T T T"
K 0.000 0.000 0.000
Se 0.000 0.000 17.282
Br 0.000 0.000 5.798
Br 0.000 0.000 10.403
```

Magnetic moment, μB per cell: 0.909


Model three:
This record from Alexandria via LeMat-Bulk describes an optimized crystal structure of KSeBr2. The functional is PBE.

```
4
Lattice="0.000 3.988 3.988 3.988 0.000 3.988 3.988 3.988 0.000" Properties=species:S:1:pos:R:3 pbc="T T T"
K 0.000 0.000 0.000
Se 1.994 1.994 1.994
Br 3.988 3.988 3.988
Br 5.982 5.982 5.982
```

Magnetic moment, μB per cell: 3.063


Model four:
This record from Alexandria via LeMat-Bulk describes an optimized crystal structure of KSeBr2. The functional is PBE.

```
4
Lattice="0.000 3.961 3.961 3.961 0.000 3.961 3.961 3.961 0.000" Properties=species:S:1:pos:R:3 pbc="T T T"
K 0.000 0.000 0.000
Se 3.961 3.961 3.961
Br 1.981 1.981 1.981
Br 5.942 5.942 5.942
```

Magnetic moment, μB per cell: 3.000


Most stable = model one